Record 1
Hf3TaGa | PBE | optimized geometry

Cell: 5.0866 5.0866 5.0866 Å, 90.00 90.00 90.00°
Closest atoms and distances in Å follow each position.
Atoms (fractional coordinates):
Hf1 0.0000 0.5000 0.0000  2 Ta 2.54
Hf2 0.0000 0.0000 0.5000  2 Ta 2.54
Hf3 0.5000 0.0000 0.0000  2 Ta 2.54
Ga1 0.5000 0.5000 0.5000  12 Hf 3.60
Ta1 0.0000 0.0000 0.0000  6 Hf 2.54

V ... 26.3 A^3/atom
E_tot ... -39.17 eV/f.u.
ΔE_f ... 1.11 eV/atom
Distance to the lowest polymorph of the same formula ... 239 meV per atom

---

Record 2
Be2PtW | PBE | optimized geometry

Cell: 4.1906 4.1906 4.1906 Å, 60.00 60.00 60.00°
Closest atoms and distances in Å follow each position.
Atoms (fractional coordinates):
Be1 0.0000 0.0000 0.0000  4 Be 2.57, 4 W 2.57
Be2 0.2500 0.2500 0.2500  4 Pt 2.57, 4 Be 2.57
W1 0.7500 0.7500 0.7500  4 Pt 2.57, 4 Be 2.57
Pt1 0.5000 0.5000 0.5000  4 W 2.57, 4 Be 2.57

V ... 13.0 A^3/atom
E_tot ... -25.62 eV/f.u.
ΔE_f ... 0.21 eV/atom
Distance to the lowest polymorph of the same formula ... 498 meV per atom

---

Record 3
CsSnI6 | PBE | optimized geometry

Cell: 7.3635 7.3635 7.3635 Å, 100.58 100.58 100.58°
Closest atoms and distances in Å follow each position.
Atoms (fractional coordinates):
Cs1 0.0000 0.0000 0.0000  12 I 4.09-4.20
Sn1 0.5000 0.5000 0.5000  6 I 2.91
I1 0.2112 0.5698 0.2112  1 Sn 2.91
I2 0.2112 0.2112 0.5698  1 Sn 2.91
I3 0.7888 0.4302 0.7888  1 Sn 2.91
I4 0.4302 0.7888 0.7888  1 Sn 2.91
I5 0.7888 0.7888 0.4302  1 Sn 2.91
I6 0.5698 0.2112 0.2112  1 Sn 2.91

V ... 47.0 A^3/atom
ΔE_f (raw) ... -0.4904 eV/atom
E_tot ... -18.08 eV/f.u.

---

Record 4
LiCdSeN2 | PBE | optimized geometry

Cell: 4.0657 4.0657 5.1649 Å, 90.00 90.00 90.00°
Closest atoms and distances in Å follow each position.
Atoms (fractional coordinates):
N1 0.0000 0.5000 0.0000  2 Li 2.03
N2 0.5000 0.0000 0.0000  2 Li 2.03
Li1 0.0000 0.0000 0.0000  4 N 2.03
Se1 0.0000 0.0000 0.5000  2 Li 2.58, 4 Cd 2.87
Cd1 0.5000 0.5000 0.5000  4 Se 2.87

V ... 17.1 A^3/atom
ΔE_f (raw) ... 1.3959 eV/atom
E_tot ... -15.98 eV/f.u.
Distance to the lowest polymorph of the same formula ... 133 meV per atom